First-principles (PBE+U) data for a relaxed structure of Y2MnCoO6, as listed in the Alexandria database.

Cell: 5.296 5.636 7.597 Å, 90.00 89.63 90.00°
Site moments in Bohr magnetons follow the coordinates.
Fractional coordinates of all 20 atoms:
O (0.683, 0.293, 0.059)  0.00
O (0.390, 0.962, 0.243)  0.00
O (0.890, 0.538, 0.743)  0.00
O (0.202, 0.188, 0.947)  0.00
Y (0.480, 0.428, 0.749)  0.01
O (0.610, 0.038, 0.757)  0.00
O (0.798, 0.812, 0.053)  0.00
O (0.298, 0.688, 0.553)  0.00
Y (0.980, 0.072, 0.249)  0.01
O (0.317, 0.707, 0.941)  0.00
O (0.110, 0.462, 0.257)  0.00
Mn (0.500, 0.000, 0.000)  3.31
O (0.183, 0.207, 0.559)  0.00
O (0.702, 0.312, 0.447)  0.00
Mn (0.000, 0.500, 0.500)  3.31
Co (0.000, 0.500, 0.000)  2.61
Y (0.020, 0.928, 0.751)  0.01
Co (0.500, 0.000, 0.500)  2.61
O (0.817, 0.793, 0.441)  0.00
Y (0.520, 0.572, 0.251)  0.01

Results
SG	P2_1/c, No. 14
DFT total energy	-159.5	eV/cell